Model A:
VASP calculation (PBE-GGA) on crystalline Ho2GaBr at its relaxed geometry.

## Properties
Total magnetization ... 0.0 μB per cell
SG ... No. 166

Lattice parameters (Å, degrees): 4.1783 4.1783 7.3624 73.52 73.52 60.00
Closest atoms and distances in Å follow each position.
Atoms (fractional coordinates):
Ga (0.0000, 0.0000, 0.0000)  6 Ho 2.84
Ho (0.2614, 0.2614, 0.2158)  3 Ga 2.84, 3 Br 3.12
Ho (0.7386, 0.7386, 0.7842)  3 Ga 2.84, 3 Br 3.12
Br (0.5000, 0.5000, 0.5000)  6 Ho 3.12


Model B:
VASP calculation (PBE-GGA) on crystalline Ho2GaBr at its relaxed geometry.

## Properties
Total magnetization ... 0.0 μB per cell
SG ... No. 160

Lattice parameters (Å, degrees): 4.1176 4.1176 7.7809 74.66 74.66 60.00
Closest atoms and distances in Å follow each position.
Atoms (fractional coordinates):
Ho (0.0693, 0.0693, 0.7920)  3 Ga 2.81
Ho (0.2655, 0.2655, 0.2034)  3 Ga 2.83
Ga (0.6683, 0.6683, 0.9952)  6 Ho 2.81-2.83
Br (0.4968, 0.4968, 0.5095)  6 Ho 3.17-3.29


Verdict on stability: model B comes out at the bottom.


Model A:
VASP calculation (PBE-GGA) on crystalline Ga2I2Br at its relaxed geometry.

## Properties
Total magnetization ... 0.0 μB per cell
SG ... No. 2

Lattice parameters (Å, degrees): 13.9467 10.0723 7.0308 120.41 90.03 134.13
Closest atoms and distances in Å follow each position.
Atoms (fractional coordinates):
Ga (0.2935, 0.1474, 0.2058)  1 Br 2.58, 1 Ga 2.61, 2 I 2.79-2.80
Ga (0.8543, 0.1483, 0.7070)  1 Br 2.58, 1 Ga 2.61, 2 I 2.79-2.80
Ga (0.7065, 0.8526, 0.7942)  1 Br 2.58, 1 Ga 2.61, 2 I 2.79-2.80
Ga (0.1457, 0.8517, 0.2930)  1 Br 2.58, 1 Ga 2.61, 2 I 2.79-2.80
I (0.1909, 0.5914, 0.0765)  2 Ga 2.79-2.80
I (0.3972, 0.5851, 0.5713)  2 Ga 2.79-2.80
I (0.6028, 0.4149, 0.4287)  2 Ga 2.79-2.80
I (0.8091, 0.4086, 0.9236)  2 Ga 2.79-2.80
Br (0.7957, 0.0007, 0.2508)  2 Ga 2.58
Br (0.2043, 0.9993, 0.7492)  2 Ga 2.58


Model B:
VASP calculation (PBE-GGA) on crystalline Ga2I2Br at its relaxed geometry.

## Properties
Total magnetization ... 0.0 μB per cell
SG ... No. 12

Lattice parameters (Å, degrees): 5.8789 7.7677 9.2912 112.39 90.00 112.24
Closest atoms and distances in Å follow each position.
Atoms (fractional coordinates):
Ga (0.1736, 0.3472, 0.5971)  1 Br 2.89, 3 I 2.94-3.16
Ga (0.8264, 0.6528, 0.4029)  1 Br 2.89, 3 I 2.94-3.16
Ga (0.4972, 0.9945, 0.2133)  2 Br 2.70-2.85, 2 I 2.97
Ga (0.5028, 0.0055, 0.7867)  2 Br 2.70-2.85, 2 I 2.97
I (0.6729, 0.3458, 0.5849)  3 Ga 2.94-3.29
I (0.3271, 0.6542, 0.4151)  3 Ga 2.94-3.29
I (0.0183, 0.0365, 0.7578)  4 Ga 2.97-3.32
I (0.9817, 0.9635, 0.2422)  4 Ga 2.97-3.32
Br (0.3534, 0.7069, 0.8923)  3 Ga 2.70-2.89
Br (0.6466, 0.2931, 0.1077)  3 Ga 2.70-2.89


Verdict on stability: model B comes out at the bottom.


Model A:
VASP calculation (PBE-GGA) on crystalline Ga2IBr2 at its relaxed geometry.

## Properties
Total magnetization ... 0.0 μB per cell
SG ... No. 127

Lattice parameters (Å, degrees): 8.7456 8.7456 4.2417 90.00 90.00 90.00
Closest atoms and distances in Å follow each position.
Atoms (fractional coordinates):
I (0.0000, 0.0000, 0.0000)  4 Ga 3.11
I (0.5000, 0.5000, 0.0000)  4 Ga 3.11
Ga (0.2732, 0.7732, 0.0000)  2 Br 2.71
Ga (0.7732, 0.7268, 0.0000)  2 Br 2.71
Ga (0.7268, 0.2268, 0.0000)  2 Br 2.71
Ga (0.2268, 0.2732, 0.0000)  2 Br 2.71
Br (0.1364, 0.6364, 0.5000)  2 Ga 2.71
Br (0.6364, 0.8636, 0.5000)  2 Ga 2.71
Br (0.8636, 0.3636, 0.5000)  2 Ga 2.71
Br (0.3636, 0.1364, 0.5000)  2 Ga 2.71


Model B:
VASP calculation (PBE-GGA) on crystalline Ga2IBr2 at its relaxed geometry.

## Properties
Total magnetization ... 0.0 μB per cell
SG ... No. 12

Lattice parameters (Å, degrees): 4.3761 5.5967 7.6239 111.57 106.65 89.96
Closest atoms and distances in Å follow each position.
Atoms (fractional coordinates):
Ga (0.6564, 0.1585, 0.3170)  4 Br 2.82-3.03, 2 I 3.05-3.06
Ga (0.3436, 0.8415, 0.6830)  4 Br 2.82-3.03, 2 I 3.05-3.06
I (0.0000, 0.0000, 0.0000)  4 Ga 3.05-3.06
Br (0.3133, 0.3136, 0.6271)  4 Ga 2.82-3.03
Br (0.6867, 0.6864, 0.3729)  4 Ga 2.82-3.03


Verdict on stability: model A comes out at the bottom.


Model A:
VASP calculation (PBE-GGA) on crystalline InGaI2Br at its relaxed geometry.

## Properties
Total magnetization ... 0.0 μB per cell
SG ... No. 123

Lattice parameters (Å, degrees): 5.8599 5.8599 5.3065 90.00 90.00 90.00
Closest atoms and distances in Å follow each position.
Atoms (fractional coordinates):
I (0.0000, 0.5000, 0.0000)  2 Ga 2.93
I (0.5000, 0.0000, 0.0000)  2 Ga 2.93
Ga (0.0000, 0.0000, 0.0000)  2 Br 2.65, 4 I 2.93
Br (0.0000, 0.0000, 0.5000)  2 Ga 2.65
In (0.5000, 0.5000, 0.5000)  8 I 3.95, 4 Br 4.14


Model B:
VASP calculation (PBE-GGA) on crystalline InGaI2Br at its relaxed geometry.

## Properties
Total magnetization ... 0.0 μB per cell
SG ... No. 123

Lattice parameters (Å, degrees): 6.0985 5.5733 6.0985 90.00 90.00 90.00
Closest atoms and distances in Å follow each position.
Atoms (fractional coordinates):
I (0.0000, 0.0000, 0.5000)  2 In 3.05
I (0.5000, 0.0000, 0.0000)  2 In 3.05
Ga (0.5000, 0.5000, 0.5000)  8 I 4.13, 4 Br 4.31
Br (0.0000, 0.5000, 0.0000)  2 In 2.79
In (0.0000, 0.0000, 0.0000)  2 Br 2.79, 4 I 3.05


Model C:
VASP calculation (PBE-GGA) on crystalline InGaI2Br at its relaxed geometry.

## Properties
Total magnetization ... 0.0 μB per cell
SG ... No. 123

Lattice parameters (Å, degrees): 6.6561 5.4218 6.6561 90.00 90.00 90.00
Closest atoms and distances in Å follow each position.
Atoms (fractional coordinates):
I (0.0000, 0.0000, 0.5000)  2 Br 3.33
I (0.5000, 0.0000, 0.0000)  2 Br 3.33
Ga (0.0000, 0.5000, 0.0000)  2 Br 2.71
Br (0.0000, 0.0000, 0.0000)  2 Ga 2.71
In (0.5000, 0.5000, 0.5000)  8 I 4.29, 4 Ga 4.71


Verdict on stability: model C comes out at the bottom.


Model A:
VASP calculation (PBE-GGA) on crystalline KGaIBr at its relaxed geometry.

## Properties
Total magnetization ... 0.0 μB per cell
SG ... No. 6

Lattice parameters (Å, degrees): 4.7809 5.1018 6.6262 89.90 90.00 90.00
Closest atoms and distances in Å follow each position.
Atoms (fractional coordinates):
K (0.5000, 0.4015, 0.0917)  2 Br 3.35, 4 I 3.49-3.50
Ga (0.0000, 0.9549, 0.5927)  2 Br 2.99, 2 I 3.32-3.33
I (0.0000, 0.9027, 0.0933)  2 Ga 3.32-3.33, 4 K 3.49-3.50
Br (0.5000, 0.3070, 0.5920)  2 Ga 2.99, 1 K 3.35


Model B:
VASP calculation (PBE-GGA) on crystalline KGaIBr at its relaxed geometry.

## Properties
Total magnetization ... 0.0 μB per cell
SG ... No. 216

Lattice parameters (Å, degrees): 5.7532 5.7532 5.7532 60.00 60.00 60.00
Closest atoms and distances in Å follow each position.
Atoms (fractional coordinates):
I (0.2500, 0.2500, 0.2500)  4 K 3.52, 4 Ga 3.52
K (0.0000, 0.0000, 0.0000)  4 Br 3.52, 4 I 3.52
Ga (0.5000, 0.5000, 0.5000)  4 Br 3.52, 4 I 3.52
Br (0.7500, 0.7500, 0.7500)  4 Ga 3.52, 4 K 3.52


Verdict on stability: model B comes out at the bottom.


Model A:
VASP calculation (PBE-GGA) on crystalline GaI2BrN at its relaxed geometry.

## Properties
Total magnetization ... 1.4 μB per cell
SG ... No. 123

Lattice parameters (Å, degrees): 7.0188 7.0188 3.3307 90.00 90.00 90.00
Closest atoms and distances in Å follow each position.
Atoms (fractional coordinates):
I (0.0000, 0.5000, 0.0000)  2 I 3.33, 2 Ga 3.51
I (0.5000, 0.0000, 0.0000)  2 I 3.33, 2 Ga 3.51
Ga (0.0000, 0.0000, 0.0000)  2 N 1.67
Br (0.5000, 0.5000, 0.5000)  2 Br 3.33
N (0.0000, 0.0000, 0.5000)  2 Ga 1.67


Model B:
VASP calculation (PBE-GGA) on crystalline GaI2BrN at its relaxed geometry.

## Properties
Total magnetization ... 0.0 μB per cell
SG ... No. 123

Lattice parameters (Å, degrees): 6.7725 6.7725 3.7155 90.00 90.00 90.00
Closest atoms and distances in Å follow each position.
Atoms (fractional coordinates):
I (0.0000, 0.5000, 0.0000)  2 Br 3.39, 2 I 3.72
I (0.5000, 0.0000, 0.0000)  2 Br 3.39, 2 I 3.72
Ga (0.5000, 0.5000, 0.5000)  2 Ga 3.72, 8 I 3.86
Br (0.0000, 0.0000, 0.0000)  2 N 1.86
N (0.0000, 0.0000, 0.5000)  2 Br 1.86


Verdict on stability: model B comes out at the bottom.


Model A:
VASP calculation (PBE-GGA) on crystalline GaI2BrO at its relaxed geometry.

## Properties
Total magnetization ... 0.0 μB per cell
SG ... No. 123

Lattice parameters (Å, degrees): 6.1330 6.1330 3.5086 90.00 90.00 90.00
Closest atoms and distances in Å follow each position.
Atoms (fractional coordinates):
I (0.0000, 0.5000, 0.0000)  2 Ga 3.07
I (0.5000, 0.0000, 0.0000)  2 Ga 3.07
O (0.0000, 0.0000, 0.5000)  2 Ga 1.75
Ga (0.0000, 0.0000, 0.0000)  2 O 1.75
Br (0.5000, 0.5000, 0.5000)  2 Br 3.51, 8 I 3.53


Model B:
VASP calculation (PBE-GGA) on crystalline GaI2BrO at its relaxed geometry.

## Properties
Total magnetization ... 0.0 μB per cell
SG ... No. 123

Lattice parameters (Å, degrees): 6.0451 6.0451 4.0489 90.00 90.00 90.00
Closest atoms and distances in Å follow each position.
Atoms (fractional coordinates):
I (0.0000, 0.5000, 0.0000)  2 Br 3.02
I (0.5000, 0.0000, 0.0000)  2 Br 3.02
O (0.0000, 0.0000, 0.5000)  2 Br 2.02
Ga (0.5000, 0.5000, 0.5000)  8 I 3.64, 2 Ga 4.05
Br (0.0000, 0.0000, 0.0000)  2 O 2.02


Verdict on stability: model B comes out at the bottom.


Model A:
VASP calculation (PBE-GGA) on crystalline GaIBrO2 at its relaxed geometry.

## Properties
Total magnetization ... 0.9 μB per cell
SG ... No. 123

Lattice parameters (Å, degrees): 3.9521 3.9521 6.6384 90.00 90.00 90.00
Closest atoms and distances in Å follow each position.
Atoms (fractional coordinates):
I (0.0000, 0.0000, 0.5000)  4 Br 2.79
O (0.0000, 0.5000, 0.0000)  2 Ga 1.98
O (0.5000, 0.0000, 0.0000)  2 Ga 1.98
Ga (0.0000, 0.0000, 0.0000)  4 O 1.98
Br (0.5000, 0.5000, 0.5000)  4 I 2.79


Model B:
VASP calculation (PBE-GGA) on crystalline GaIBrO2 at its relaxed geometry.

## Properties
Total magnetization ... 0.0 μB per cell
SG ... No. 123

Lattice parameters (Å, degrees): 4.0532 4.0532 7.4496 90.00 90.00 90.00
Closest atoms and distances in Å follow each position.
Atoms (fractional coordinates):
I (0.0000, 0.0000, 0.5000)  4 Ga 2.87
O (0.0000, 0.5000, 0.0000)  2 Br 2.03
O (0.5000, 0.0000, 0.0000)  2 Br 2.03
Ga (0.5000, 0.5000, 0.5000)  4 I 2.87
Br (0.0000, 0.0000, 0.0000)  4 O 2.03


Verdict on stability: model B comes out at the bottom.